# 1
The following is a PBE calculation of AsP2Se after structural relaxation, from the Alexandria database.

Results
Its density of states at the Fermi level is 4.7 states/eV/cell. Its crystal system is tetragonal. The value obtained for the energy above the lowest structure with this stoichiometry is 1.03 eV/f.u. The energy relative to the elements, uncorrected comes out at 1.7 eV per formula unit.

Geometry as extended XYZ:
```
8
Lattice="-5.6651 -1.5796 -2.8874 3.2544 -1.8309 -5.3835 -0.9034 -5.4493 -2.6796" Properties=species:S:1:pos:R:3 pbc="T T T"
P -3.2755 -2.5549 -3.1045
P 1.0158 -2.7276 -4.4385
P -2.8353 -7.0439 -9.1667
P -1.5332 -5.3931 -5.1914
Se -3.8869 -4.3671 -4.8512
Se 0.0000 0.0000 0.0000
As -1.2053 -1.7053 -4.1355
As 0.5728 -4.4927 -6.0993
```

---

# 2
The following is a PBE calculation of AsPSe2 after structural relaxation, from the Alexandria database.

Results
Its density of states at the Fermi level is 2.8 states/eV/cell. Its crystal system is tetragonal. The value obtained for the energy above the lowest structure with this stoichiometry is 1.21 eV/f.u. The energy relative to the elements, uncorrected comes out at 1.7 eV per formula unit.

Geometry as extended XYZ:
```
4
Lattice="7.9808 0.0234 0.0000 6.3228 4.8699 0.0000 -7.1518 -2.4467 2.5611" Properties=species:S:1:pos:R:3 pbc="T T T"
Se 3.1614 2.4350 1.2806
Se 0.0000 0.0000 0.0000
As 7.1518 2.4467 0.0000
P 3.9904 0.0117 1.2806
```

---

# 3
The following is a PBE calculation of AsP2Se6 after structural relaxation, from the Alexandria database.

Results
Its density of states at the Fermi level is 2.9 states/eV/cell. Its crystal system is monoclinic. The energy relative to the elements, uncorrected comes out at 0.8 eV per formula unit.

Geometry as extended XYZ:
```
18
Lattice="-4.1692 6.3747 -0.8227 -8.2645 -2.4257 -0.0982 -1.8309 2.8183 7.9310" Properties=species:S:1:pos:R:3 pbc="T T T"
P -7.5043 2.2377 6.0293
P -10.7337 4.4919 4.1892
P -6.7603 4.5296 0.9808
P -3.5309 2.2754 2.8209
Se -7.6637 6.2057 2.2229
Se -8.9985 1.7238 7.5885
Se -6.6010 0.5616 4.7872
Se -8.1473 3.1857 -0.2185
Se -12.2483 3.9614 5.7230
Se -11.8167 3.8225 2.3059
Se -5.2661 5.0435 -0.5785
Se -2.4479 2.9448 4.7042
Se -8.5808 3.8343 4.5065
Se -6.1174 3.5816 7.2285
Se -2.0163 2.8059 1.2871
Se -5.6838 2.9330 2.5035
As -3.6241 3.8000 6.7882
As -10.6406 2.9674 0.2218
```

---

# 4
The following is a PBE calculation of AsP2Se after structural relaxation, from the Alexandria database.

Results
Its density of states at the Fermi level is 1.9 states/eV/cell. Its crystal system is orthorhombic. The value obtained for the energy above the lowest structure with this stoichiometry is 1.99 eV/f.u. The energy relative to the elements, uncorrected comes out at 2.7 eV per formula unit.

Geometry as extended XYZ:
```
4
Lattice="2.7173 0.0028 0.0000 -0.6985 2.6260 0.0000 0.0000 0.0000 10.0731" Properties=species:S:1:pos:R:3 pbc="T T T"
P 0.0000 0.0000 9.7447
P 0.0000 0.0000 5.3649
As 1.0094 1.3144 7.5548
Se 1.0094 1.3144 2.5183
```

---

# 5
The following is a PBE calculation of AsPSe2 after structural relaxation, from the Alexandria database.

Results
Its density of states at the Fermi level is 1.2 states/eV/cell. Its crystal system is monoclinic. The value obtained for the energy above the lowest structure with this stoichiometry is 0.27 eV/f.u. The energy relative to the elements, uncorrected comes out at 0.8 eV per formula unit.

Geometry as extended XYZ:
```
4
Lattice="3.8788 0.0000 0.0000 0.0000 2.7426 0.0233 0.0000 -2.7322 7.6905" Properties=species:S:1:pos:R:3 pbc="T T T"
As 1.9394 0.0026 1.9285
Se 0.0000 0.0084 7.6344
Se 0.0000 0.0072 3.9364
P 1.9394 0.0078 5.7854
```

---

# 6
The following is a PBE calculation of As2PSe6 after structural relaxation, from the Alexandria database.

Results
Its density of states at the Fermi level is 9.9 states/eV/cell. Its crystal system is monoclinic. The energy relative to the elements, uncorrected comes out at 0.4 eV per formula unit.

Geometry as extended XYZ:
```
18
Lattice="5.9197 0.4037 0.3909 2.3069 9.7014 -2.1145 2.3069 -1.7991 9.7648" Properties=species:S:1:pos:R:3 pbc="T T T"
As 4.8034 3.8392 6.1173
As 7.7632 6.4404 3.8344
As 5.7301 4.4669 1.9238
As 2.7702 1.8656 4.2068
Se 7.3878 8.2391 6.0347
Se 2.1765 3.9948 1.8913
Se 8.0324 8.2275 2.0836
Se 5.0726 2.1473 7.9603
Se 5.1364 2.2216 4.1269
Se 8.3569 4.3112 6.1498
Se 2.5010 0.0785 5.9575
Se 5.3970 6.0844 3.9143
Se 4.4280 6.0967 7.8438
Se 6.1055 2.2094 0.1973
Se 5.4609 6.1588 0.0808
Se 3.1456 0.0669 2.0064
P 3.7868 0.2997 7.7988
P 6.7466 8.0063 0.2423
```

---

# 7
The following is a PBE calculation of As2PSe after structural relaxation, from the Alexandria database.

Results
Its density of states at the Fermi level is 1.4 states/eV/cell. Its crystal system is tetragonal. The value obtained for the energy above the lowest structure with this stoichiometry is 0.11 eV/f.u. The energy relative to the elements, uncorrected comes out at 0.6 eV per formula unit.

Geometry as extended XYZ:
```
4
Lattice="3.8038 0.0000 0.0000 0.0000 3.8038 0.0000 0.0000 0.0000 5.8391" Properties=species:S:1:pos:R:3 pbc="T T T"
P 0.0000 0.0000 1.9092
Se 1.9019 1.9019 5.1258
As 0.0000 0.0000 5.3982
As 1.9019 1.9019 2.1644
```

---

# 8
The following is a PBE calculation of As2PSe after structural relaxation, from the Alexandria database.

Results
Its density of states at the Fermi level is 3.3 states/eV/cell. Its crystal system is orthorhombic. The value obtained for the energy above the lowest structure with this stoichiometry is 1.57 eV/f.u. The energy relative to the elements, uncorrected comes out at 2.1 eV per formula unit.

Geometry as extended XYZ:
```
4
Lattice="-1.5461 2.1178 1.0488 0.9520 -1.5528 2.1583 8.2163 5.7458 0.5099" Properties=species:S:1:pos:R:3 pbc="T T T"
As 0.3379 0.2363 0.0210
As 3.7702 2.6366 0.2340
P 1.7570 1.7189 1.7310
Se 5.8652 4.5918 1.9860
```

---

# 9
The following is a PBE calculation of As2PSe after structural relaxation, from the Alexandria database.

Results
Its density of states at the Fermi level is 2.7 states/eV/cell. Its crystal system is orthorhombic. The value obtained for the energy above the lowest structure with this stoichiometry is 0.35 eV/f.u. The energy relative to the elements, uncorrected comes out at 0.9 eV per formula unit.

Geometry as extended XYZ:
```
4
Lattice="-1.8326 1.3989 4.0964 1.4119 -4.4768 0.2465 3.2802 -0.3765 3.3390" Properties=species:S:1:pos:R:3 pbc="T T T"
As 0.0000 0.0000 0.0000
As -0.2104 -1.5389 2.1714
P 0.7238 0.5112 3.7177
Se 2.3460 -2.4266 1.7927
```

---

# 10
The following is a PBE calculation of AsPSe4 after structural relaxation, from the Alexandria database.

Results
Its density of states at the Fermi level is 6.2 states/eV/cell. Its crystal system is cubic. The value obtained for the energy above the lowest structure with this stoichiometry is 6.06 eV/f.u. The energy relative to the elements, uncorrected comes out at 6.0 eV per formula unit.

Geometry as extended XYZ:
```
6
Lattice="-5.0802 -2.3070 0.5202 -4.0746 2.7691 2.6704 -4.3305 2.0799 -2.8849" Properties=species:S:1:pos:R:3 pbc="T T T"
Se -5.0537 0.9526 0.1146
Se -7.5987 -0.2031 0.3752
Se -7.0949 2.3399 1.4524
Se -7.2231 1.9946 -1.3307
As -10.1139 1.9065 0.2293
P 0.0000 0.0000 0.0000
```

---

# 11
The following is a PBE calculation of AsPSe2 after structural relaxation, from the Alexandria database.

Results
Its density of states at the Fermi level is 2.1 states/eV/cell. Its crystal system is cubic. The value obtained for the energy above the lowest structure with this stoichiometry is 1.78 eV/f.u. The energy relative to the elements, uncorrected comes out at 2.3 eV per formula unit.

Geometry as extended XYZ:
```
4
Lattice="0.5256 -0.4579 4.6767 -3.5426 -1.7148 2.6205 0.3541 -4.3023 1.9293" Properties=species:S:1:pos:R:3 pbc="T T T"
Se -1.9972 -4.8563 6.9199
Se -0.6657 -1.6188 2.3066
As -1.3315 -3.2375 4.6132
P 0.0000 0.0000 0.0000
```

---

# 12
The following is a PBE calculation of As2PSe after structural relaxation, from the Alexandria database.

Results
Its density of states at the Fermi level is 1.1 states/eV/cell. Its crystal system is cubic. The value obtained for the energy above the lowest structure with this stoichiometry is 1.68 eV/f.u. The energy relative to the elements, uncorrected comes out at 2.2 eV per formula unit.

Geometry as extended XYZ:
```
4
Lattice="4.6995 0.0000 0.0000 2.3497 4.0699 0.0000 2.3497 1.3566 3.8371" Properties=species:S:1:pos:R:3 pbc="T T T"
P 4.6995 2.7132 1.9185
Se 7.0492 4.0699 2.8778
As 2.3497 1.3566 0.9593
As 0.0000 0.0000 0.0000
```

---

# 13
The following is a PBE calculation of AsPSe after structural relaxation, from the Alexandria database.

Results
Its density of states at the Fermi level is 1.3 states/eV/cell. Its crystal system is orthorhombic. The value obtained for the energy above the lowest structure with this stoichiometry is 0.67 eV/f.u. The energy relative to the elements, uncorrected comes out at 1.2 eV per formula unit.

Geometry as extended XYZ:
```
3
Lattice="5.8542 0.1228 0.1954 3.4672 4.7186 -0.1954 -4.5620 -2.6107 2.5879" Properties=species:S:1:pos:R:3 pbc="T T T"
P 3.8258 1.9870 0.0000
As 9.0046 4.6768 0.0000
Se 5.8123 3.0188 0.0000
```

---

# 14
The following is a PBE calculation of AsPSe3 after structural relaxation, from the Alexandria database.

Results
Its crystal system is orthorhombic. The value obtained for the energy above the lowest structure with this stoichiometry is 0.00 eV/f.u. The energy relative to the elements, uncorrected comes out at 0.0 eV per formula unit.

Geometry as extended XYZ:
```
10
Lattice="5.8755 0.0000 -2.2829 -1.5358 8.5500 -3.9527 0.2459 -0.9668 9.3351" Properties=species:S:1:pos:R:3 pbc="T T T"
Se 1.6916 6.9477 2.1245
Se 1.6454 2.6196 2.4249
Se 0.5968 5.4483 -0.6934
Se 4.3990 0.6355 0.3901
Se 5.4939 2.1349 3.2080
Se 4.1621 4.9636 0.1998
P 0.5603 1.0545 3.6792
P 2.5148 6.5287 0.0071
As 3.4568 0.9127 2.6293
As -0.5152 6.6705 1.1089
```

---

# 15
The following is a PBE calculation of AsPSe after structural relaxation, from the Alexandria database.

Results
Its density of states at the Fermi level is 2.3 states/eV/cell. Its crystal system is hexagonal. The value obtained for the energy above the lowest structure with this stoichiometry is 0.90 eV/f.u. The energy relative to the elements, uncorrected comes out at 1.4 eV per formula unit.

Geometry as extended XYZ:
```
3
Lattice="4.9713 0.0000 0.0000 -2.4857 4.3053 0.0000 0.0000 0.0000 2.7058" Properties=species:S:1:pos:R:3 pbc="T T T"
Se 2.4857 1.4351 0.9021
P 0.0000 2.8702 0.9018
As 0.0000 0.0000 0.9019
```

---

# 16
The following is a PBE calculation of AsPSe2 after structural relaxation, from the Alexandria database.

Results
Its density of states at the Fermi level is 1.8 states/eV/cell. Its crystal system is monoclinic. The value obtained for the energy above the lowest structure with this stoichiometry is 0.00 eV/f.u. The energy relative to the elements, uncorrected comes out at 0.5 eV per formula unit.

Geometry as extended XYZ:
```
4
Lattice="4.9883 0.0000 0.0000 0.0000 2.7664 0.0517 0.0000 5.3468 7.9620" Properties=species:S:1:pos:R:3 pbc="T T T"
Se 0.0000 7.7896 7.6979
Se 2.4941 2.3505 2.4051
P 2.4941 5.0753 4.6751
As 0.0000 5.0677 5.2562
```

---

# 17
The following is a PBE calculation of AsPSe2 after structural relaxation, from the Alexandria database.

Results
Its density of states at the Fermi level is 3.6 states/eV/cell. Its crystal system is cubic. The value obtained for the energy above the lowest structure with this stoichiometry is 2.03 eV/f.u. The energy relative to the elements, uncorrected comes out at 2.6 eV per formula unit.

Geometry as extended XYZ:
```
4
Lattice="4.7301 0.0000 0.0000 2.3651 4.0964 0.0000 2.3651 1.3655 3.8621" Properties=species:S:1:pos:R:3 pbc="T T T"
Se 2.3651 1.3655 0.9655
Se 0.0000 0.0000 0.0000
As 4.7301 2.7309 1.9311
P 7.0952 4.0964 2.8966
```

---

# 18
The following is a PBE calculation of AsP2Se after structural relaxation, from the Alexandria database.

Results
Its density of states at the Fermi level is 0.6 states/eV/cell. Its crystal system is monoclinic. The value obtained for the energy above the lowest structure with this stoichiometry is 0.13 eV/f.u. The energy relative to the elements, uncorrected comes out at 0.8 eV per formula unit.

Geometry as extended XYZ:
```
4
Lattice="-2.0001 6.3682 2.3458 -4.5456 5.4065 0.4050 -2.3275 -0.9579 3.5273" Properties=species:S:1:pos:R:3 pbc="T T T"
Se -4.5325 5.0496 3.4426
As -2.1547 2.5271 1.5739
P -6.7632 7.3765 5.2153
P -2.1869 0.3140 2.7126
```

---

# 19
The following is a PBE calculation of As2PSe after structural relaxation, from the Alexandria database.

Results
Its density of states at the Fermi level is 2.2 states/eV/cell. Its crystal system is tetragonal. The value obtained for the energy above the lowest structure with this stoichiometry is 0.89 eV/f.u. The energy relative to the elements, uncorrected comes out at 1.4 eV per formula unit.

Geometry as extended XYZ:
```
4
Lattice="3.3077 0.0000 0.0000 0.0000 3.3077 0.0000 0.0000 0.0000 8.3547" Properties=species:S:1:pos:R:3 pbc="T T T"
As 1.6538 1.6538 2.5777
As 0.0000 0.0000 7.9559
P 0.0000 0.0000 3.5836
Se 1.6538 1.6538 6.7696
```

---

# 20
The following is a PBE calculation of AsP2Se after structural relaxation, from the Alexandria database.

Results
Its density of states at the Fermi level is 1.2 states/eV/cell. Its crystal system is monoclinic. The value obtained for the energy above the lowest structure with this stoichiometry is 0.00 eV/f.u. The energy relative to the elements, uncorrected comes out at 0.7 eV per formula unit.

Geometry as extended XYZ:
```
4
Lattice="3.3337 0.0000 0.0000 0.0000 5.0262 0.6336 0.0000 2.9567 5.7788" Properties=species:S:1:pos:R:3 pbc="T T T"
P 1.6668 1.7195 0.9534
P 0.0000 5.2360 1.2575
Se 0.0000 4.2227 3.3514
As 1.6668 5.8222 4.6898
```